Computed, not measured: a relaxed Er3Si3Pd2 crystal at the PBE-GGA level of DFT.

Cell and atoms, written as CIF:
```
data_Er3Si3Pd2
_space_group_name_H-M_alt 'P 1'
_space_group_IT_number 1
_space_group_name_Hall 'P 1'
_cell_length_a 4.2355
_cell_length_b 5.6040
_cell_length_c 14.0017
_cell_angle_alpha 90.00
_cell_angle_beta 90.00
_cell_angle_gamma 112.20
loop_
_atom_site_label
_atom_site_type_symbol
_atom_site_fract_x
_atom_site_fract_y
_atom_site_fract_z
Si1 Si 0.6051 0.2102 0.4607
Si2 Si 0.3949 0.7898 0.5393
Si3 Si 0.6574 0.3148 0.7500
Si4 Si 0.3949 0.7898 0.9607
Si5 Si 0.6051 0.2102 0.0393
Si6 Si 0.3426 0.6852 0.2500
Er1 Er 0.6370 0.2741 0.2500
Er2 Er 0.0853 0.1707 0.6113
Er3 Er 0.9147 0.8293 0.1113
Er4 Er 0.3630 0.7259 0.7500
Er5 Er 0.9147 0.8293 0.3887
Er6 Er 0.0853 0.1707 0.8887
Pd1 Pd 0.7936 0.5872 0.5947
Pd2 Pd 0.2064 0.4128 0.0947
Pd3 Pd 0.2064 0.4128 0.4053
Pd4 Pd 0.7936 0.5872 0.9053
```

Symmetry ... Cmcm, No. 63
Energy relative to the lowest polymorph listed for this composition ... 0.0 meV per atom
ΔE_f (raw) ... -0.9616 eV/atom
Total moment ... 0.0 μB/f.u.